Compound: PrSmDyGa
Source: Alexandria via LeMat-Bulk
Functional: GGA-PBE
Structure: optimized geometry

Values from the calculation:
* total magnetic moment: 0.3 μB per cell
* energy of formation: -0.090 eV/atom
* DFT total energy: -69.953 eV for the cell shown
* theoretical density: 7689 kg/m³

The structure in CIF format:
```
data_PrSmDyGa
_chemical_formula_sum 'Pr4 Sm4 Dy4 Ga4'
_cell_length_a 7.6756
_cell_length_b 7.6756
_cell_length_c 7.6756
_cell_angle_alpha 90.00
_cell_angle_beta 90.00
_cell_angle_gamma 90.00
_symmetry_space_group_name_H-M 'F -4 3 m'
_symmetry_Int_Tables_number 216
_symmetry_space_group_name_Hall 'F -4 2 3'
loop_
_atom_site_label
_atom_site_fract_x
_atom_site_fract_y
_atom_site_fract_z
_atom_site_occupancy
Pr1 0.0000 0.0000 0.0000 1
Sm1 0.0000 0.0000 0.5000 1
Dy1 0.2500 0.2500 0.7500 1
Ga1 0.2500 0.2500 0.2500 1
```